1.
# AlNi2HPt (GGA-PBE, relaxed)
# Magnetic moment = 0.00 Bohr magnetons per cell
# Energy = -5.40 eV/atom
# Density of states at the Fermi level = 1.43 states/eV per cell
# Distance to the lowest polymorph of the same formula = 0.0000 eV/atom
data_AlNi2HPt
_cell_length_a 3.704
_cell_length_b 3.704
_cell_length_c 3.872
_cell_angle_alpha 90.00
_cell_angle_beta 90.00
_cell_angle_gamma 90.00
_space_group_name_H-M_alt 'P 4/m m m'
_space_group_IT_number 123
_space_group_name_Hall '-P 4 2'
loop_
_atom_site_label
_atom_site_type_symbol
_atom_site_fract_x
_atom_site_fract_y
_atom_site_fract_z
Al1 Al 0.000 0.000 0.000
Ni1 Ni 0.000 0.500 0.500
H1 H 0.500 0.500 0.500
Pt1 Pt 0.500 0.500 0.000

2.
# Pm7Te2Ir2 (GGA-PBE, relaxed)
# Magnetic moment = 0.00 Bohr magnetons per cell
# Energy = -5.96 eV/atom
# Density of states at the Fermi level = 23.34 states/eV per cell
data_Pm7Te2Ir2
_cell_length_a 4.157
_cell_length_b 15.472
_cell_length_c 9.956
_cell_angle_alpha 90.00
_cell_angle_beta 90.00
_cell_angle_gamma 90.00
_space_group_name_H-M_alt 'I m m 2'
_space_group_IT_number 44
_space_group_name_Hall 'I 2 -2'
loop_
_atom_site_label
_atom_site_type_symbol
_atom_site_fract_x
_atom_site_fract_y
_atom_site_fract_z
Pm1 Pm 0.000 0.000 0.000
Pm2 Pm 0.000 0.106 0.606
Pm3 Pm 0.000 0.324 0.371
Pm4 Pm 0.000 0.381 0.789
Te1 Te 0.000 0.229 0.090
Ir1 Ir 0.000 0.000 0.357
Ir2 Ir 0.000 0.500 0.280

3.
# Mg3As (GGA-PBE, relaxed)
# Magnetic moment = 0.00 Bohr magnetons per cell
# Energy = -2.61 eV/atom
# Density of states at the Fermi level = 2.34 states/eV per cell
# ΔE_f = -256 meV per atom
data_Mg3As
_cell_length_a 3.980
_cell_length_b 8.039
_cell_length_c 5.626
_cell_angle_alpha 90.00
_cell_angle_beta 90.00
_cell_angle_gamma 90.00
_space_group_name_H-M_alt 'P m m n'
_space_group_IT_number 59
loop_
_space_group_symop_operation_xyz
'x,y,z'
'-x,-y,-z'
'-x+1/2,-y+1/2,z'
'x+1/2,y+1/2,-z'
'x+1/2,-y,-z'
'-x+1/2,y,z'
'-x,y+1/2,-z'
'x,-y+1/2,z'
loop_
_atom_site_label
_atom_site_type_symbol
_atom_site_fract_x
_atom_site_fract_y
_atom_site_fract_z
Mg1 Mg 0.250 0.050 0.239
Mg2 Mg 0.250 0.250 0.793
As1 As 0.250 0.750 0.529

4.
# RbCdPt (GGA-PBE, relaxed)
# Magnetic moment = 0.00 Bohr magnetons per cell
# Energy = -2.75 eV/atom
# Density of states at the Fermi level = 2.07 states/eV per cell
# ΔE_f = -113 meV per atom
# Distance to the lowest polymorph of the same formula = 0.0707 eV/atom
data_RbCdPt
_cell_length_a 4.777
_cell_length_b 4.777
_cell_length_c 16.147
_cell_angle_alpha 90.00
_cell_angle_beta 90.00
_cell_angle_gamma 90.00
_space_group_name_H-M_alt 'I 4/m m m'
_space_group_IT_number 139
_space_group_name_Hall '-I 4 2'
loop_
_atom_site_label
_atom_site_type_symbol
_atom_site_fract_x
_atom_site_fract_y
_atom_site_fract_z
Rb1 Rb 0.000 0.000 0.182
Cd1 Cd 0.000 0.500 0.000
Pt1 Pt 0.000 0.000 0.412

- density of states at the Fermi level of number 4 (RbCdPt)?
  2.07 states/eV per cell

- The highest energy belongs to which entry?
  Mg3As

- Look up the magnetic moment of the second one.
  0.00 Bohr magnetons per cell

- The highest energy belongs to which entry?
  Mg3As